Record 1
This record from the Alexandria database describes a relaxed CaEu3 crystal. The functional is PBE-GGA.

Summary:
As for the space group: Pmm2.

```
4
Lattice="3.917 0.000 0.000 0.000 6.385 0.000 0.000 0.000 6.814" Properties=species:S:1:pos:R:3 pbc="T T T"
Ca 0.000 0.000 0.000
Eu 0.000 3.193 4.549
Eu 1.958 0.000 3.412
Eu 1.958 3.193 1.167
```

***

Record 2
This record from the Alexandria database describes a relaxed MnZn2P crystal. The functional is PBE-GGA.

Summary:
As for the space group: P4/mmm.

```
4
Lattice="2.685 0.000 0.000 0.000 2.685 0.000 0.000 0.000 8.101" Properties=species:S:1:pos:R:3 pbc="T T T"
Mn 0.000 0.000 0.000
Zn 1.342 1.342 1.849
Zn 1.342 1.342 6.252
P 0.000 0.000 4.051
```

***

no.,E (eV/atom),ΔH_f (0 K) (eV per atom)
1,-8.19,0.012
2,-4.05,0.229